[1]
Mg4CrCd after structural relaxation, computed with PBE.

The structure in POSCAR format:
```
Mg4CrCd
1.0
0.0000 4.0306 4.0306
4.0306 0.0000 4.0306
4.0306 4.0306 0.0000
Mg Cr Cd
4 1 1
direct
0.1252 0.1252 0.1252
0.1252 0.1252 0.6243
0.1252 0.6243 0.1252
0.6243 0.1252 0.1252
0.5000 0.5000 0.5000
0.7500 0.7500 0.7500
```

Output
total magnetization = 4.50 μB/f.u.
formation energy from the elements = 7.1 kcal/mol of atoms



[2]
ReSb3Cl after structural relaxation, computed with PBE.

The structure in POSCAR format:
```
ReSb3Cl
1.0
5.1542 0.0000 0.0000
0.0000 5.1542 0.0000
0.0000 0.0000 5.1542
Re Sb Cl
1 3 1
direct
0.0000 0.0000 0.0000
0.0000 0.5000 0.5000
0.5000 0.0000 0.5000
0.5000 0.5000 0.0000
0.5000 0.5000 0.5000
```

Output
uncorrected formation energy = 38.40 kcal/mol of atoms
total magnetization = 2.49 μB/f.u.



[3]
Sc4CSe2 after structural relaxation, computed with PBE.

The structure in POSCAR format:
```
Sc4CSe2
1.0
6.8815 -1.7841 0.0000
6.8815 1.7841 0.0000
-2.8349 0.0000 5.5787
Sc C Se
4 1 2
direct
0.1017 0.1017 0.2432
0.3916 0.3916 0.1884
0.6084 0.6084 0.8116
0.8983 0.8983 0.7568
0.5000 0.5000 0.0000
0.2342 0.2342 0.7277
0.7658 0.7658 0.2723
```

Output
uncorrected formation energy = -23.95 kcal/mol of atoms
total magnetization = 0.00 μB/f.u.



[4]
Li6PtAu2 after structural relaxation, computed with PBE.

The structure in POSCAR format:
```
Li6PtAu2
1.0
7.4216 0.0000 0.0000
-3.7108 6.4273 0.0000
0.0000 0.0000 2.7510
Li Pt Au
6 1 2
direct
0.0000 0.3257 0.0000
0.0000 0.6743 0.0000
0.3257 0.0000 0.0000
0.3257 0.3257 0.0000
0.6743 0.0000 0.0000
0.6743 0.6743 0.0000
0.0000 0.0000 0.5000
0.3333 0.6667 0.5000
0.6667 0.3333 0.5000
```

Output
total magnetization = 0.00 μB/f.u.
formation energy from the elements = -10.9 kcal/mol of atoms



[5]
CeMnSi2Mo after structural relaxation, computed with PBE.

The structure in POSCAR format:
```
CeMnSi2Mo
1.0
-2.0023 2.0023 5.4220
2.0023 -2.0023 5.4220
2.0023 2.0023 -5.4220
Ce Mn Si Mo
1 1 2 1
direct
0.0000 0.0000 0.0000
0.2500 0.7500 0.5000
0.3866 0.3866 0.0000
0.6134 0.6134 0.0000
0.7500 0.2500 0.5000
```

Output
uncorrected formation energy = -11.26 kcal/mol of atoms
total magnetization = 2.72 μB/f.u.